Material: KBe2MoF8
Method: DFT, PBE with a Hubbard U
State: optimized geometry

Results
Magnetic moment: 0.25 μB per atom
Final energy: -5.54 eV per atom
Symmetry: R-3

```
12
Lattice="2.479 1.431 7.882 -2.479 1.431 7.882 0.000 -2.863 7.882" Properties=species:S:1:pos:R:3 pbc="T T T"
K 0.000 0.000 0.000
Be 0.000 0.000 5.800
Be 0.000 0.000 17.845
Mo 0.000 0.000 11.823
F -1.005 -1.352 10.561
F -1.673 0.194 13.084
F 0.000 0.000 7.284
F -0.668 1.546 10.561
F 0.668 -1.546 13.084
F 0.000 0.000 16.361
F 1.673 -0.194 10.561
F 1.005 1.352 13.084
```